a.
The following is a PBE calculation of a relaxed structure of NaIn3Sb, from Alexandria via LeMat-Bulk. Values from VASP.

Structure (Quantum ESPRESSO input):
```
&SYSTEM
  ibrav = 0, nat = 5, ntyp = 3
/
ATOMIC_SPECIES
Na 22.99 Na.upf
In 114.82 In.upf
Sb 121.76 Sb.upf
ATOMIC_POSITIONS angstrom
Na 0.000 0.000 0.000
In 0.000 0.000 2.741
In 0.000 2.741 0.000
In 2.741 0.000 0.000
Sb 2.741 2.741 2.741
CELL_PARAMETERS angstrom
5.482 0.000 0.000
0.000 5.482 0.000
0.000 0.000 5.482
```

---

b.
The following is a PBE calculation of a relaxed structure of NaIn3Sb, from Alexandria via LeMat-Bulk. Values from VASP.

Structure (Quantum ESPRESSO input):
```
&SYSTEM
  ibrav = 0, nat = 5, ntyp = 3
/
ATOMIC_SPECIES
Na 22.99 Na.upf
In 114.82 In.upf
Sb 121.76 Sb.upf
ATOMIC_POSITIONS angstrom
Na 0.000 0.000 0.000
In 0.000 2.897 2.897
In 2.897 0.000 2.897
In 2.897 2.897 0.000
Sb 2.897 2.897 2.897
CELL_PARAMETERS angstrom
5.794 0.000 0.000
0.000 5.794 0.000
0.000 0.000 5.794
```

---

Most stable: b (next structure +183 meV per atom)

---

a.
The following is a PBE calculation of a relaxed structure of NaInSb2Te, from Alexandria via LeMat-Bulk. Values from VASP.

Structure (Quantum ESPRESSO input):
```
&SYSTEM
  ibrav = 0, nat = 5, ntyp = 4
/
ATOMIC_SPECIES
Na 22.99 Na.upf
In 114.82 In.upf
Sb 121.76 Sb.upf
Te 127.60 Te.upf
ATOMIC_POSITIONS angstrom
Na 0.000 0.000 0.000
In 2.749 2.749 2.798
Sb 0.000 2.749 0.000
Sb 2.749 0.000 0.000
Te 0.000 0.000 2.798
CELL_PARAMETERS angstrom
5.498 0.000 0.000
0.000 5.498 0.000
0.000 0.000 5.596
```

---

b.
The following is a PBE calculation of a relaxed structure of NaInSb2Te, from Alexandria via LeMat-Bulk. Values from VASP.

Structure (Quantum ESPRESSO input):
```
&SYSTEM
  ibrav = 0, nat = 5, ntyp = 4
/
ATOMIC_SPECIES
Na 22.99 Na.upf
In 114.82 In.upf
Sb 121.76 Sb.upf
Te 127.60 Te.upf
ATOMIC_POSITIONS angstrom
Na 0.000 0.000 0.000
In 2.833 2.833 2.964
Sb 0.000 2.833 2.964
Sb 2.833 0.000 2.964
Te 2.833 2.833 0.000
CELL_PARAMETERS angstrom
5.665 0.000 0.000
0.000 5.665 0.000
0.000 0.000 5.927
```

---

Most stable: b (next structure +218 meV per atom)

---

a.
The following is a PBE calculation of a relaxed structure of NaScIn2, from Alexandria via LeMat-Bulk. Values from VASP.

Structure (Quantum ESPRESSO input):
```
&SYSTEM
  ibrav = 0, nat = 4, ntyp = 3
/
ATOMIC_SPECIES
Na 22.99 Na.upf
Sc 44.96 Sc.upf
In 114.82 In.upf
ATOMIC_POSITIONS angstrom
Na 0.000 0.000 0.000
Sc 2.655 2.655 0.000
In 0.000 2.655 1.682
In 2.655 0.000 1.682
CELL_PARAMETERS angstrom
5.311 0.000 0.000
0.000 5.311 0.000
0.000 0.000 3.364
```

---

b.
The following is a PBE calculation of a relaxed structure of NaScIn2, from Alexandria via LeMat-Bulk. Values from VASP.

Structure (Quantum ESPRESSO input):
```
&SYSTEM
  ibrav = 0, nat = 4, ntyp = 3
/
ATOMIC_SPECIES
Na 22.99 Na.upf
Sc 44.96 Sc.upf
In 114.82 In.upf
ATOMIC_POSITIONS angstrom
Na 0.000 0.000 0.000
Sc 3.625 3.625 3.625
In 1.813 1.813 1.813
In 5.438 5.438 5.438
CELL_PARAMETERS angstrom
0.000 3.625 3.625
3.625 0.000 3.625
3.625 3.625 0.000
```

---

c.
The following is a PBE calculation of a relaxed structure of NaScIn2, from Alexandria via LeMat-Bulk. Values from VASP.

Structure (Quantum ESPRESSO input):
```
&SYSTEM
  ibrav = 0, nat = 4, ntyp = 3
/
ATOMIC_SPECIES
Na 22.99 Na.upf
Sc 44.96 Sc.upf
In 114.82 In.upf
ATOMIC_POSITIONS angstrom
Na 0.000 0.000 0.000
Sc 0.000 0.000 6.067
In 0.000 0.000 3.031
In 0.000 0.000 9.104
CELL_PARAMETERS angstrom
-1.554 3.032 6.067
1.554 -3.032 6.067
1.554 3.032 -6.067
```

---

d.
The following is a PBE calculation of a relaxed structure of NaScIn2, from Alexandria via LeMat-Bulk. Values from VASP.

Structure (Quantum ESPRESSO input):
```
&SYSTEM
  ibrav = 0, nat = 4, ntyp = 3
/
ATOMIC_SPECIES
Na 22.99 Na.upf
Sc 44.96 Sc.upf
In 114.82 In.upf
ATOMIC_POSITIONS angstrom
Na 0.000 0.000 0.000
Sc 0.000 0.000 3.840
In 1.786 1.786 2.057
In 1.786 1.786 5.623
CELL_PARAMETERS angstrom
3.573 0.000 0.000
0.000 3.573 0.000
0.000 0.000 7.680
```

---

Most stable: a (next structure +24 meV per atom)

---

a.
The following is a PBE calculation of a relaxed structure of NaSc2In2, from Alexandria via LeMat-Bulk. Values from VASP.

Structure (Quantum ESPRESSO input):
```
&SYSTEM
  ibrav = 0, nat = 10, ntyp = 3
/
ATOMIC_SPECIES
Na 22.99 Na.upf
Sc 44.96 Sc.upf
In 114.82 In.upf
ATOMIC_POSITIONS angstrom
Na 0.000 0.000 0.000
Na 4.275 4.275 0.000
Sc 1.461 2.814 1.719
Sc 2.814 7.089 1.719
Sc 5.736 1.461 1.719
Sc 7.089 5.736 1.719
In 1.086 5.362 0.000
In 3.189 1.086 0.000
In 5.362 7.464 0.000
In 7.464 3.189 0.000
CELL_PARAMETERS angstrom
8.550 0.000 0.000
0.000 8.550 0.000
0.000 0.000 3.439
```

---

b.
The following is a PBE calculation of a relaxed structure of NaSc2In2, from Alexandria via LeMat-Bulk. Values from VASP.

Structure (Quantum ESPRESSO input):
```
&SYSTEM
  ibrav = 0, nat = 10, ntyp = 3
/
ATOMIC_SPECIES
Na 22.99 Na.upf
Sc 44.96 Sc.upf
In 114.82 In.upf
ATOMIC_POSITIONS angstrom
Na 0.000 0.000 0.000
Na 4.452 4.452 0.000
Sc 1.077 3.375 0.000
Sc 3.375 7.827 0.000
Sc 5.529 1.077 0.000
Sc 7.827 5.529 0.000
In 1.575 6.028 1.601
In 2.877 1.575 1.601
In 6.028 7.329 1.601
In 7.329 2.877 1.601
CELL_PARAMETERS angstrom
8.904 0.000 0.000
0.000 8.904 0.000
0.000 0.000 3.201
```

---

Most stable: b (next structure +21 meV per atom)